# Mg2As (PBE-GGA, relaxed)
# **Size of the total moment**: 0.00 μB/f.u.
# **Energy relative to the elements**: -0.27 eV/atom
data_Mg2As
_space_group_name_H-M_alt 'P 4/m m m'
_space_group_IT_number 123
_space_group_name_Hall '-P 4 2'
_cell_length_a 4.268
_cell_length_b 4.268
_cell_length_c 3.718
_cell_angle_alpha 90.00
_cell_angle_beta 90.00
_cell_angle_gamma 90.00
loop_
_atom_site_label
_atom_site_fract_x
_atom_site_fract_y
_atom_site_fract_z
_atom_site_occupancy
Mg1 0.000 0.500 0.000 1
As1 0.000 0.000 0.500 1

# SrP2Se (PBE-GGA, relaxed)
# **Size of the total moment**: 0.00 μB/f.u.
# **Formation energy from raw total energies**: -0.612 eV/atom
data_SrP2Se
_space_group_name_H-M_alt 'C 1 2/m 1'
_space_group_IT_number 12
_cell_length_a 12.055
_cell_length_b 3.801
_cell_length_c 4.807
_cell_angle_alpha 90.00
_cell_angle_beta 111.77
_cell_angle_gamma 90.00
loop_
_space_group_symop_operation_xyz
'x,y,z'
'-x,-y,-z'
'-x,y,-z'
'x,-y,z'
'x+1/2,y+1/2,z'
'-x+1/2,-y+1/2,-z'
'-x+1/2,y+1/2,-z'
'x+1/2,-y+1/2,z'
loop_
_atom_site_label
_atom_site_fract_x
_atom_site_fract_y
_atom_site_fract_z
_atom_site_occupancy
Sr1 0.000 0.000 0.000 1
P1 0.231 0.500 0.847 1
Se1 0.000 0.500 0.500 1

# Na2IO4 (PBE-GGA, relaxed)
# **Size of the total moment**: 0.00 μB/f.u.
# **Formation energy from raw total energies**: -0.847 eV/atom
data_Na2IO4
_space_group_name_H-M_alt 'I 4/m m m'
_space_group_IT_number 139
_space_group_name_Hall '-I 4 2'
_cell_length_a 4.067
_cell_length_b 4.067
_cell_length_c 12.158
_cell_angle_alpha 90.00
_cell_angle_beta 90.00
_cell_angle_gamma 90.00
loop_
_atom_site_label
_atom_site_fract_x
_atom_site_fract_y
_atom_site_fract_z
_atom_site_occupancy
Na1 0.000 0.000 0.155 1
I1 0.000 0.000 0.500 1
O1 0.000 0.000 0.343 1
O2 0.000 0.500 0.000 1

# InAgP2 (PBE-GGA, relaxed)
# **Size of the total moment**: 0.00 μB/f.u.
# **Energy relative to the elements**: 0.15 eV/atom
data_InAgP2
_space_group_name_H-M_alt 'R 3 m'
_space_group_IT_number 160
_space_group_name_Hall 'R 3 -2"'
_cell_length_a 3.4176
_cell_length_b 3.4176
_cell_length_c 22.7060
_cell_angle_alpha 90.00
_cell_angle_beta 90.00
_cell_angle_gamma 120.00
loop_
_atom_site_label
_atom_site_fract_x
_atom_site_fract_y
_atom_site_fract_z
_atom_site_occupancy
In1 0.0000 0.0000 0.0000 1
Ag1 0.0000 0.0000 0.2392 1
P1 0.0000 0.0000 0.4870 1
P2 0.0000 0.0000 0.7654 1

# K2CdAsH (PBE-GGA, relaxed)
# **Uncorrected energy**: -2.561 eV/atom
# **Size of the total moment**: 0.00 μB/f.u.
data_K2CdAsH
_space_group_name_H-M_alt 'P 1 21/m 1'
_space_group_IT_number 11
_cell_length_a 7.374
_cell_length_b 4.576
_cell_length_c 8.122
_cell_angle_alpha 90.00
_cell_angle_beta 107.70
_cell_angle_gamma 90.00
loop_
_space_group_symop_operation_xyz
'x,y,z'
'-x,-y,-z'
'-x,y+1/2,-z'
'x,-y+1/2,z'
loop_
_atom_site_label
_atom_site_fract_x
_atom_site_fract_y
_atom_site_fract_z
_atom_site_occupancy
K1 0.112 0.250 0.370 1
K2 0.266 0.250 0.955 1
Cd1 0.433 0.750 0.335 1
As1 0.361 0.750 0.669 1
H1 0.175 0.750 0.167 1

# KMnBr2 (PBE-GGA, relaxed)
# **Size of the total moment**: 4.13 μB/f.u.
# **Formation energy from raw total energies**: -0.707 eV/atom
data_KMnBr2
_space_group_name_H-M_alt 'P 1 2/m 1'
_space_group_IT_number 10
_cell_length_a 4.112
_cell_length_b 3.926
_cell_length_c 7.466
_cell_angle_alpha 90.00
_cell_angle_beta 90.06
_cell_angle_gamma 90.00
loop_
_space_group_symop_operation_xyz
'x,y,z'
'-x,-y,-z'
'-x,y,-z'
'x,-y,z'
loop_
_atom_site_label
_atom_site_fract_x
_atom_site_fract_y
_atom_site_fract_z
_atom_site_occupancy
K1 0.000 0.000 0.000 1
Mn1 0.500 0.000 0.500 1
Br1 0.499 0.500 0.742 1

# Ba5MgAg2 (PBE-GGA, relaxed)
# **Size of the total moment**: 0.00 μB/f.u.
# **Energy relative to the elements**: -0.15 eV/atom
data_Ba5MgAg2
_space_group_name_H-M_alt 'I 4/m c m'
_space_group_IT_number 140
_space_group_name_Hall '-I 4 2c'
_cell_length_a 9.208
_cell_length_b 9.208
_cell_length_c 16.818
_cell_angle_alpha 90.00
_cell_angle_beta 90.00
_cell_angle_gamma 90.00
loop_
_atom_site_label
_atom_site_fract_x
_atom_site_fract_y
_atom_site_fract_z
_atom_site_occupancy
Ba1 0.000 0.000 0.000 1
Ba2 0.168 0.332 0.139 1
Mg1 0.000 0.000 0.250 1
Ag1 0.119 0.381 0.500 1

# MnCdP4 (PBE-GGA, relaxed)
# **Size of the total moment**: 4.08 μB/f.u.
# **Energy relative to the elements**: 0.59 eV/atom
data_MnCdP4
_space_group_name_H-M_alt 'F -4 3 m'
_space_group_IT_number 216
_space_group_name_Hall 'F -4 2 3'
_cell_length_a 7.326
_cell_length_b 7.326
_cell_length_c 7.326
_cell_angle_alpha 90.00
_cell_angle_beta 90.00
_cell_angle_gamma 90.00
loop_
_atom_site_label
_atom_site_fract_x
_atom_site_fract_y
_atom_site_fract_z
_atom_site_occupancy
Mn1 0.000 0.000 0.000 1
Cd1 0.250 0.250 0.250 1
P1 0.126 0.126 0.626 1

# PtO (PBE-GGA, relaxed)
# **Size of the total moment**: 0.11 μB/f.u.
# **Formation energy from raw total energies**: 0.608 eV/atom
data_PtO
_space_group_name_H-M_alt 'F -4 3 m'
_space_group_IT_number 216
_space_group_name_Hall 'F -4 2 3'
_cell_length_a 4.941
_cell_length_b 4.941
_cell_length_c 4.941
_cell_angle_alpha 90.00
_cell_angle_beta 90.00
_cell_angle_gamma 90.00
loop_
_atom_site_label
_atom_site_fract_x
_atom_site_fract_y
_atom_site_fract_z
_atom_site_occupancy
Pt1 0.000 0.000 0.000 1
O1 0.250 0.250 0.250 1

# SrAcPmGd (PBE-GGA, relaxed)
# **Size of the total moment**: 8.28 μB/f.u.
# **Energy relative to the elements**: 0.18 eV/atom
data_SrAcPmGd
_space_group_name_H-M_alt 'F -4 3 m'
_space_group_IT_number 216
_space_group_name_Hall 'F -4 2 3'
_cell_length_a 8.628
_cell_length_b 8.628
_cell_length_c 8.628
_cell_angle_alpha 90.00
_cell_angle_beta 90.00
_cell_angle_gamma 90.00
loop_
_atom_site_label
_atom_site_fract_x
_atom_site_fract_y
_atom_site_fract_z
_atom_site_occupancy
Sr1 0.000 0.000 0.000 1
Ac1 0.250 0.250 0.750 1
Pm1 0.250 0.250 0.250 1
Gd1 0.000 0.000 0.500 1

# Pr10DyHo4 (PBE-GGA, relaxed)
# **Size of the total moment**: 0.00 μB/f.u.
# **Energy relative to the elements**: 0.68 eV/atom
data_Pr10DyHo4
_space_group_name_H-M_alt 'I 4/m'
_space_group_IT_number 87
_space_group_name_Hall '-I 4'
_cell_length_a 12.420
_cell_length_b 12.420
_cell_length_c 7.866
_cell_angle_alpha 90.00
_cell_angle_beta 90.00
_cell_angle_gamma 90.00
loop_
_atom_site_label
_atom_site_fract_x
_atom_site_fract_y
_atom_site_fract_z
_atom_site_occupancy
Pr1 0.000 0.500 0.250 1
Pr2 0.100 0.799 0.250 1
Dy1 0.000 0.000 0.000 1
Ho1 0.100 0.300 0.500 1

# La12YPb3 (PBE-GGA, relaxed)
# **Size of the total moment**: 0.00 μB/f.u.
# **Energy relative to the elements**: -0.28 eV/atom
data_La12YPb3
_space_group_name_H-M_alt 'P 4/m m m'
_space_group_IT_number 123
_space_group_name_Hall '-P 4 2'
_cell_length_a 5.094
_cell_length_b 5.094
_cell_length_c 20.652
_cell_angle_alpha 90.00
_cell_angle_beta 90.00
_cell_angle_gamma 90.00
loop_
_atom_site_label
_atom_site_fract_x
_atom_site_fract_y
_atom_site_fract_z
_atom_site_occupancy
La1 0.000 0.000 0.000 1
La2 0.000 0.000 0.245 1
La3 0.000 0.000 0.500 1
La4 0.000 0.500 0.122 1
La5 0.000 0.500 0.370 1
Y1 0.500 0.500 0.500 1
Pb1 0.500 0.500 0.000 1
Pb2 0.500 0.500 0.245 1